[1]
The following is a PBE-GGA calculation of a relaxed CaAu2 crystal, from Alexandria via LeMat-Bulk.

```
CaAu2
1.0
-2.875 2.875 4.341
2.875 -2.875 4.341
2.875 2.875 -4.341
Ca Au
2 4
Cartesian
0.000 0.000 2.171
0.000 0.000 6.512
3.842 0.967 0.000
0.967 1.908 0.000
1.908 0.967 4.341
-0.967 1.908 4.341
```

Properties
Raw total energy in eV per formula unit: -10.26
Magnetization in μB per formula unit: 0.000
E_form in eV/atom: -0.5694
Symmetry: I4/mcm



[2]
The following is a PBE-GGA calculation of a relaxed Cr2FeN crystal, from Alexandria via LeMat-Bulk.

```
Cr2FeN
1.0
1.321 0.763 7.292
-1.321 0.763 7.292
0.000 -1.526 7.292
Cr Fe N
2 1 1
Cartesian
0.000 0.000 2.417
0.000 0.000 19.457
0.000 0.000 0.000
0.000 0.000 10.937
```

Properties
Raw total energy in eV per formula unit: -35.29
Magnetization in μB per formula unit: 4.230
Symmetry: R-3m
Uncorrected formation energy in kJ/mol of atoms: 18.0



Look up the raw total energy of the first one. -10.26 eV per formula unit



Repeat the second record exactly.
The following is a PBE-GGA calculation of a relaxed Cr2FeN crystal, from Alexandria via LeMat-Bulk.

```
Cr2FeN
1.0
1.321 0.763 7.292
-1.321 0.763 7.292
0.000 -1.526 7.292
Cr Fe N
2 1 1
Cartesian
0.000 0.000 2.417
0.000 0.000 19.457
0.000 0.000 0.000
0.000 0.000 10.937
```

Properties
Raw total energy in eV per formula unit: -35.29
Magnetization in μB per formula unit: 4.230
Symmetry: R-3m
Uncorrected formation energy in kJ/mol of atoms: 18.0